The following is a GGA-PBEsol calculation of a geometry-optimized TmAgSn structure, from Alexandria.

Geometry as POSCAR:
```
TmAgSn
1.0
-2.697 0.724 -3.407
5.285 -1.774 -4.560
-4.480 -5.071 2.468
Tm Ag Sn
3 3 3
Cartesian
-1.934 -2.189 1.066
2.282 -0.766 -1.969
0.457 -3.890 -1.189
2.640 -0.977 -5.145
-1.151 -1.317 -2.217
-4.729 -3.464 0.159
0.682 -2.511 -3.921
0.000 0.000 0.000
-2.574 -3.610 -1.578
```

Summary:
* space-group type: P-62m
* E_tot: -4.752 eV per atom
* Fermi-level density of states: 0.4 states/eV/f.u.
* magnetic moment: 0.0 μB/f.u.
* theoretical density: 9.955 g/cm3

The following is a GGA-PBEsol calculation of a geometry-optimized SbTe2PI structure, from Alexandria.

Geometry as POSCAR:
```
SbTe2PI
1.0
-0.094 -5.608 1.060
0.090 -1.062 -5.608
5.760 -0.077 0.107
I Sb Te P
1 1 2 1
Cartesian
2.880 -0.038 0.054
0.000 0.000 0.000
0.045 -0.531 -2.804
-0.047 -2.804 0.530
2.878 -3.373 -2.220
```

Summary:
* space-group type: P4/mmm
* E_tot: -2.852 eV per atom
* Fermi-level density of states: 4.7 states/eV/f.u.
* magnetic moment: 1.6 μB/f.u.
* theoretical density: 4.730 g/cm3

The following is a GGA-PBEsol calculation of a geometry-optimized ReMoAu2 structure, from Alexandria.

Geometry as POSCAR:
```
ReMoAu2
1.0
-1.188 -2.170 3.747
2.425 -3.496 1.435
2.509 0.377 3.704
Au Mo Re
2 1 1
Cartesian
0.000 0.000 0.000
2.809 -3.967 6.664
1.872 -2.644 4.443
0.936 -1.322 2.221
```

Summary:
* polymorph energy (0 for the lowest one): 344 meV per atom
* space-group type: F-43m
* Fermi-level density of states: 2.9 states/eV/f.u.
* magnetic moment: 0.0 μB/f.u.
* theoretical density: 17.542 g/cm3

The following is a GGA-PBEsol calculation of a geometry-optimized Al4CdO7 structure, from Alexandria.

Geometry as POSCAR:
```
Al4CdO7
1.0
-1.010 -4.179 3.287
5.042 1.111 5.771
-3.569 3.366 5.991
Al O Cd
8 14 2
Cartesian
0.259 -2.344 4.083
1.136 0.175 12.573
0.204 2.641 10.966
-0.673 0.123 2.476
-0.395 -0.267 9.856
-0.727 -1.243 6.864
0.858 0.564 5.193
1.190 1.540 8.185
0.221 -0.960 8.340
0.242 1.257 6.709
0.331 -1.319 2.658
1.775 3.408 10.719
0.132 1.616 12.391
-1.312 -3.110 4.330
-2.112 -0.254 10.109
-2.240 -0.410 6.693
2.575 0.551 4.940
2.704 0.707 8.356
0.122 1.440 9.614
-0.091 1.192 3.816
0.341 -1.143 5.435
0.554 -0.895 11.233
2.498 -1.556 8.282
-2.035 1.853 6.767
```

Summary:
* space-group type: C2/c
* E_tot: -7.211 eV per atom
* Fermi-level density of states: 0.0 states/eV/f.u.
* magnetic moment: 0.0 μB/f.u.
* theoretical density: 3.753 g/cm3

The following is a GGA-PBEsol calculation of a geometry-optimized KHSe2 structure, from Alexandria.

Geometry as POSCAR:
```
KHSe2
1.0
3.412 0.000 0.000
1.706 2.955 0.000
1.706 0.985 8.422
H K Se
1 1 2
Cartesian
0.000 0.000 0.000
3.412 1.970 4.211
5.118 2.955 1.742
1.706 0.985 6.680
```

Summary:
* polymorph energy (0 for the lowest one): 0 meV per atom
* space-group type: R-3m
* Fermi-level density of states: 2.2 states/eV/f.u.
* magnetic moment: 0.0 μB/f.u.
* theoretical density: 3.873 g/cm3

The following is a GGA-PBEsol calculation of a geometry-optimized BeAgAu2 structure, from Alexandria.

Geometry as POSCAR:
```
BeAgAu2
1.0
3.108 0.000 0.000
0.000 4.479 0.000
-1.554 -2.240 4.283
Be Au Ag
1 2 1
Cartesian
1.554 0.000 0.000
1.554 2.240 2.531
0.000 0.000 1.752
0.000 2.240 0.000
```

Summary:
* space-group type: Immm
* E_tot: -3.863 eV per atom
* Fermi-level density of states: 0.9 states/eV/f.u.
* magnetic moment: 0.0 μB/f.u.
* theoretical density: 14.225 g/cm3